# 1
Material: K2PaGeTe5
Method: DFT, GGA-PBE
State: optimized geometry

Values from the calculation:
ΔE_f (raw) = -0.705 eV per atom
total energy = -4.26 eV/atom

a b c (Å): 4.692 20.531 14.730
angles (deg): 90.00 90.00 90.00
Space group Cmc2_1 (No. 36)
Symmetry-distinct sites (fractional):
K: 0.000 0.114 0.000 x4
K: 0.000 0.121 0.353 x4
Pa: 0.000 0.203 0.698 x4
Ge: 0.000 0.438 0.094 x4
Te: 0.000 0.052 0.691 x4
Te: 0.000 0.305 0.328 x4
Te: 0.000 0.307 0.057 x4
Te: 0.000 0.342 0.675 x4
Te: 0.000 0.494 0.937 x4

***

# 2
Material: Lu2TcPd
Method: DFT, GGA-PBE
State: optimized geometry

Values from the calculation:
ΔE_f = -534.0 meV per atom
total energy = -6.68 eV/atom

a b c (Å): 3.426 3.426 6.687
angles (deg): 90.00 90.00 90.00
Space group P4/mmm (No. 123)
Symmetry-distinct sites (fractional):
Lu: 0.000 0.000 0.241 x2
Tc: 0.500 0.500 0.000 x1
Pd: 0.500 0.500 0.500 x1

***

# 3
Material: K3TbBi2O6
Method: DFT, GGA-PBE
State: optimized geometry

Values from the calculation:
ΔE_f (raw) = -1.805 eV per atom
total energy = -5.59 eV/atom

a b c (Å): 6.207 10.750 6.623
angles (deg): 90.00 108.21 90.00
Space group C2/m (No. 12)
Symmetry-distinct sites (fractional):
K: 0.000 0.000 0.000 x2
K: 0.000 0.331 0.000 x4
Tb: 0.000 0.500 0.500 x2
Bi: 0.000 0.167 0.500 x4
O: 0.226 0.340 0.697 x8
O: 0.245 0.000 0.696 x4

***

# 4
Material: KNaSrBr2
Method: DFT, GGA-PBE
State: optimized geometry

Values from the calculation:
ΔE_f (raw) = -0.714 eV per atom
total energy = -2.20 eV/atom

a b c (Å): 5.810 5.810 6.668
angles (deg): 90.00 90.00 90.00
Space group P4/mmm (No. 123)
Symmetry-distinct sites (fractional):
K: 0.000 0.000 0.000 x1
Na: 0.500 0.500 0.500 x1
Sr: 0.500 0.500 0.000 x1
Br: 0.000 0.500 0.500 x2

***

# 5
Material: Pm4Dy8Er3
Method: DFT, GGA-PBE
State: optimized geometry

Values from the calculation:
ΔE_f = 123.1 meV per atom
total energy = -4.51 eV/atom

a b c (Å): 6.9389 6.9389 35.3867
angles (deg): 90.00 90.00 120.00
Space group R-3m (No. 166, hexagonal axes)
Symmetry-distinct sites (fractional):
Pm: 0.0000 0.0000 0.0000 x3
Pm: 0.0000 0.0000 0.1636 x6
Pm: 0.0000 0.0000 0.5000 x3
Dy: 0.0000 0.0000 0.2554 x6
Dy: 0.0018 0.5009 0.2513 x18
Er: 0.0000 0.5000 0.0000 x9

***

# 6
Material: Pm6Er2Sc3
Method: DFT, GGA-PBE
State: optimized geometry

Values from the calculation:
ΔE_f = 48.9 meV per atom
total energy = -5.10 eV/atom

a b c (Å): 6.100 7.856 7.865
angles (deg): 107.70 97.69 104.72
Space group P-1 (No. 2)
Symmetry-distinct sites (fractional):
Pm: 0.093 0.361 0.325 x2
Pm: 0.183 0.732 0.149 x2
Pm: 0.274 0.090 0.951 x2
Er: 0.365 0.454 0.768 x2
Sc: 0.000 0.000 0.500 x1
Sc: 0.457 0.824 0.587 x2

***

# 7
Material: Ca2FeC4
Method: DFT, GGA-PBE
State: optimized geometry

Values from the calculation:
ΔE_f = 37.9 meV per atom
total energy = -7.01 eV/atom

a b c (Å): 7.512 10.417 5.039
angles (deg): 90.00 90.00 90.00
Space group Ibam (No. 72)
Symmetry-distinct sites (fractional):
Ca: 0.166 0.145 0.000 x8
Fe: 0.000 0.500 0.250 x4
C: 0.170 0.422 0.000 x8
C: 0.171 0.130 0.500 x8

***

# 8
Material: CaPb5Cl12
Method: DFT, GGA-PBE
State: optimized geometry

Values from the calculation:
ΔE_f (raw) = -1.345 eV per atom
total energy = -3.72 eV/atom

a b c (Å): 7.511 13.099 12.825
angles (deg): 90.00 90.06 90.00
Space group C2/m (No. 12)
Symmetry-distinct sites (fractional):
Ca: 0.000 0.000 0.000 x2
Pb: 0.000 0.167 0.500 x4
Pb: 0.000 0.333 0.000 x4
Pb: 0.000 0.500 0.500 x2
Cl: 0.158 0.159 0.111 x8
Cl: 0.166 0.000 0.383 x4
Cl: 0.166 0.333 0.382 x8
Cl: 0.182 0.500 0.111 x4

***

# 9
Material: Ni23Te42
Method: DFT, GGA-PBE
State: optimized geometry

Values from the calculation:
ΔE_f (raw) = -0.214 eV per atom
total energy = -4.29 eV/atom

a b c (Å): 8.583 8.597 20.152
angles (deg): 93.83 93.52 94.24
Space group P-1 (No. 2)
Symmetry-distinct sites (fractional):
Ni: 0.000 0.000 0.000 x1
Ni: 0.045 0.332 0.145 x2
Ni: 0.096 0.167 0.785 x2
Ni: 0.096 0.666 0.286 x2
Ni: 0.141 0.999 0.429 x2
Ni: 0.190 0.331 0.571 x2
Ni: 0.237 0.666 0.715 x2
Ni: 0.286 0.001 0.857 x2
Ni: 0.331 0.333 0.001 x2
Ni: 0.384 0.668 0.144 x2
Ni: 0.426 0.998 0.285 x2
Ni: 0.475 0.333 0.428 x2
Te: 0.018 0.029 0.129 x2
Te: 0.031 0.303 0.015 x2
Te: 0.063 0.361 0.274 x2
Te: 0.083 0.635 0.156 x2
Te: 0.111 0.695 0.415 x2
Te: 0.128 0.975 0.300 x2
Te: 0.158 0.029 0.558 x2
Te: 0.175 0.304 0.442 x2
Te: 0.209 0.363 0.700 x2
Te: 0.224 0.635 0.585 x2
Te: 0.254 0.696 0.843 x2
Te: 0.273 0.969 0.726 x2
Te: 0.301 0.029 0.986 x2
Te: 0.317 0.310 0.872 x2
Te: 0.347 0.363 0.131 x2
Te: 0.369 0.639 0.014 x2
Te: 0.396 0.696 0.273 x2
Te: 0.414 0.971 0.156 x2
Te: 0.442 0.028 0.414 x2
Te: 0.460 0.303 0.299 x2
Te: 0.493 0.362 0.557 x2

***

# 10
Material: LaZn3AgAu
Method: DFT, GGA-PBE
State: optimized geometry

Values from the calculation:
ΔE_f = -211.5 meV per atom
total energy = -2.69 eV/atom

a b c (Å): 6.415 13.164 5.885
angles (deg): 90.00 90.00 90.00
Space group Cmcm (No. 63)
Symmetry-distinct sites (fractional):
La: 0.000 0.211 0.250 x4
Zn: 0.000 0.363 0.750 x4
Zn: 0.194 0.000 0.000 x8
Ag: 0.000 0.433 0.250 x4
Au: 0.000 0.157 0.750 x4

***

# 11
Material: Li2PtSe
Method: DFT, GGA-PBE
State: optimized geometry

Values from the calculation:
ΔE_f (raw) = -0.346 eV per atom
total energy = -3.68 eV/atom

a b c (Å): 3.445 3.445 5.356
angles (deg): 90.00 90.00 90.00
Space group P4mm (No. 99)
Symmetry-distinct sites (fractional):
Li: 0.000 0.000 0.000 x1
Li: 0.500 0.500 0.275 x1
Pt: 0.000 0.000 0.505 x1
Se: 0.500 0.500 0.752 x1

***

# 12
Material: Cr2PdW
Method: DFT, GGA-PBE
State: optimized geometry

Values from the calculation:
ΔE_f = 842.1 meV per atom
total energy = -8.51 eV/atom

a b c (Å): 6.788 6.788 5.398
angles (deg): 90.00 90.00 90.00
Space group I-42d (No. 122)
Symmetry-distinct sites (fractional):
Cr: 0.243 0.250 0.125 x8
Pd: 0.000 0.000 0.500 x4
W: 0.000 0.000 0.000 x4

***

Among the records above, which one has the lowest total energy?
Cr2PdW